The following is a PBE-GGA calculation of a relaxed structure of BaAlP2Se8, from Alexandria.

## Properties
The calculation puts the total energy at -50.3 eV per cell. The density of states at the Fermi level is 10.68 states/eV/cell. The space group is P-3.

Unit cell a=6.258 b=6.258 c=9.319 alpha=90.00 beta=90.00 gamma=120.00
Fractional coordinates of all 12 atoms:
1 Ba 0.000 0.000 0.000
2 Al 0.000 0.000 0.500
3 P 0.333 0.667 0.736
4 P 0.667 0.333 0.264
5 Se 0.011 0.694 0.321
6 Se 0.306 0.318 0.321
7 Se 0.318 0.011 0.679
8 Se 0.333 0.667 0.973
9 Se 0.667 0.333 0.027
10 Se 0.682 0.989 0.321
11 Se 0.694 0.682 0.679
12 Se 0.989 0.306 0.679